Entry from Alexandria via LeMat-Bulk: a relaxed V3MoW2 crystal (GGA-PBE).

abc: 6.8574 6.8574 6.6538
angles: 95.23 95.23 37.06
Atoms (fractional coordinates):
V  0.0778  0.0778  0.3750
V  0.3078  0.3078  0.5398
V  0.3891  0.3891  0.9180
V  0.6109  0.6109  0.0820
V  0.6922  0.6922  0.4602
V  0.9222  0.9222  0.6250
Mo  0.1498  0.1498  0.7743
Mo  0.8502  0.8502  0.2257
W  0.2316  0.2316  0.1572
W  0.4620  0.4620  0.3088
W  0.5380  0.5380  0.6912
W  0.7684  0.7684  0.8428

Summary:
crystal system: monoclinic
calculated density: 10.91 g/cm³
uncorrected energy: -10.48 eV/atom

Entry from Alexandria via LeMat-Bulk: a relaxed VMo6W3 crystal (GGA-PBE).

abc: 7.7235 4.4626 9.4822
angles: 90.00 106.01 90.00
Atoms (fractional coordinates):
V  0.0492  0.2500  0.4016
V  0.9508  0.7500  0.5984
Mo  0.0490  0.7500  0.8980
Mo  0.1467  0.2500  0.6967
Mo  0.1491  0.7500  0.2014
Mo  0.2463  0.7500  0.4989
Mo  0.3482  0.2500  0.3004
Mo  0.4498  0.7500  0.1002
Mo  0.5502  0.2500  0.8998
Mo  0.6518  0.7500  0.6996
Mo  0.7537  0.2500  0.5011
Mo  0.8509  0.2500  0.7986
Mo  0.8533  0.7500  0.3033
Mo  0.9510  0.2500  0.1020
W  0.2497  0.2500  0.9988
W  0.3476  0.7500  0.7974
W  0.4478  0.2500  0.5983
W  0.5522  0.7500  0.4017
W  0.6524  0.2500  0.2026
W  0.7503  0.7500  0.0012

Summary:
crystal system: monoclinic
calculated density: 12.45 g/cm³
uncorrected energy: -11.36 eV/atom

Entry from Alexandria via LeMat-Bulk: a relaxed V6MoW3 crystal (GGA-PBE).

abc: 7.5268 4.3249 9.2053
angles: 90.00 105.51 90.00
Atoms (fractional coordinates):
V  0.0489  0.2500  0.3998
V  0.1481  0.7500  0.1998
V  0.1496  0.2500  0.6982
V  0.2476  0.2500  0.9990
V  0.3476  0.7500  0.7995
V  0.4494  0.2500  0.6003
V  0.5506  0.7500  0.3997
V  0.6524  0.2500  0.2005
V  0.7524  0.7500  0.0010
V  0.8504  0.7500  0.3018
V  0.8519  0.2500  0.8002
V  0.9511  0.7500  0.6002
Mo  0.0514  0.7500  0.8971
Mo  0.9486  0.2500  0.1029
W  0.2460  0.7500  0.5009
W  0.3506  0.2500  0.3008
W  0.4529  0.7500  0.1016
W  0.5471  0.2500  0.8984
W  0.6494  0.7500  0.6992
W  0.7540  0.2500  0.4991

Summary:
crystal system: monoclinic
calculated density: 10.96 g/cm³
uncorrected energy: -10.51 eV/atom

Entry from Alexandria via LeMat-Bulk: a relaxed V2MoW crystal (GGA-PBE).

abc: 3.0779 3.0779 6.1592
angles: 90.00 90.00 90.00
Atoms (fractional coordinates):
V  0.0000  0.0000  0.2487
V  0.0000  0.0000  0.7513
Mo  0.5000  0.5000  0.0000
W  0.5000  0.5000  0.5000

Summary:
crystal system: tetragonal
calculated density: 10.86 g/cm³
uncorrected energy: -10.61 eV/atom

Entry from Alexandria via LeMat-Bulk: a relaxed V2Mo2W7 crystal (GGA-PBE).

abc: 6.4006 6.4006 4.6970
angles: 104.84 104.84 92.98
Atoms (fractional coordinates):
V  0.2328  0.7672  0.0000
V  0.7672  0.2328  0.0000
Mo  0.1932  0.1932  0.1344
Mo  0.8068  0.8068  0.8656
W  0.0000  0.0000  0.5000
W  0.0790  0.5924  0.3326
W  0.4076  0.9210  0.6674
W  0.4138  0.4138  0.7061
W  0.5862  0.5862  0.2939
W  0.5924  0.0790  0.3326
W  0.9210  0.4076  0.6674

Summary:
crystal system: monoclinic
calculated density: 14.71 g/cm³
uncorrected energy: -11.50 eV/atom

Entry from Alexandria via LeMat-Bulk: a relaxed V4Mo2W5 crystal (GGA-PBE).

abc: 14.1182 14.1182 2.7310
angles: 93.79 93.79 17.85
Atoms (fractional coordinates):
V  0.0442  0.0442  0.3656
V  0.3186  0.3186  0.5442
V  0.6814  0.6814  0.4558
V  0.9558  0.9558  0.6344
Mo  0.4093  0.4093  0.2737
Mo  0.5907  0.5907  0.7263
W  0.1358  0.1358  0.0881
W  0.2270  0.2270  0.8160
W  0.5000  0.5000  0.0000
W  0.7730  0.7730  0.1840
W  0.8642  0.8642  0.9119

Summary:
crystal system: monoclinic
calculated density: 13.12 g/cm³
uncorrected energy: -11.27 eV/atom

Entry from Alexandria via LeMat-Bulk: a relaxed V5MoW4 crystal (GGA-PBE).

abc: 3.0810 3.0810 15.4259
angles: 90.00 90.00 90.00
Atoms (fractional coordinates):
V  0.0000  0.0000  0.0000
V  0.0000  0.0000  0.2003
V  0.0000  0.0000  0.4007
V  0.0000  0.0000  0.5993
V  0.0000  0.0000  0.7997
Mo  0.5000  0.5000  0.5000
W  0.5000  0.5000  0.1002
W  0.5000  0.5000  0.3002
W  0.5000  0.5000  0.6998
W  0.5000  0.5000  0.8998

Summary:
crystal system: tetragonal
calculated density: 12.32 g/cm³
uncorrected energy: -10.91 eV/atom

Entry from Alexandria via LeMat-Bulk: a relaxed V2Mo3W8 crystal (GGA-PBE).

abc: 7.7120 7.7120 4.5774
angles: 90.00 90.00 126.21
Atoms (fractional coordinates):
V  0.2219  0.7781  0.0000
V  0.7781  0.2219  0.0000
Mo  0.0000  0.0000  0.0000
Mo  0.2976  0.2976  0.5000
Mo  0.7024  0.7024  0.5000
W  0.1252  0.8748  0.5000
W  0.1789  0.4083  0.0000
W  0.3279  0.6721  0.5000
W  0.4083  0.1789  0.0000
W  0.5917  0.8211  0.0000
W  0.6721  0.3279  0.5000
W  0.8211  0.5917  0.0000
W  0.8748  0.1252  0.5000

Summary:
crystal system: orthorhombic
calculated density: 14.06 g/cm³
uncorrected energy: -11.26 eV/atom

Entry from Alexandria via LeMat-Bulk: a relaxed VMo6W8 crystal (GGA-PBE).

abc: 7.0246 7.0246 7.0246
angles: 59.81 59.81 59.81
Atoms (fractional coordinates):
V  0.0000  0.0000  0.0000
Mo  0.0549  0.2820  0.5419
Mo  0.2820  0.5419  0.0549
Mo  0.4581  0.9451  0.7180
Mo  0.5419  0.0549  0.2820
Mo  0.7180  0.4581  0.9451
Mo  0.9451  0.7180  0.4581
W  0.1276  0.8320  0.6560
W  0.1680  0.3440  0.8724
W  0.3440  0.8724  0.1680
W  0.4232  0.4232  0.4232
W  0.5768  0.5768  0.5768
W  0.6560  0.1276  0.8320
W  0.8320  0.6560  0.1276
W  0.8724  0.1680  0.3440

Summary:
crystal system: trigonal
calculated density: 14.27 g/cm³
uncorrected energy: -11.60 eV/atom

Entry from Alexandria via LeMat-Bulk: a relaxed V5MoW6 crystal (GGA-PBE).

abc: 7.6005 7.6005 7.6005
angles: 146.53 131.86 59.90
Atoms (fractional coordinates):
V  0.0000  0.0000  0.0000
V  0.1668  0.6668  0.5000
V  0.3323  0.3323  0.0000
V  0.6677  0.6677  0.0000
V  0.8332  0.3332  0.5000
Mo  0.5000  0.0000  0.5000
W  0.0807  0.8322  0.2485
W  0.2466  0.5000  0.7466
W  0.4164  0.1678  0.2485
W  0.5836  0.8322  0.7515
W  0.7534  0.5000  0.2534
W  0.9193  0.1678  0.7515

Summary:
crystal system: orthorhombic
calculated density: 13.51 g/cm³
uncorrected energy: -11.27 eV/atom

Q: What is the calculated density in the fourth record?
A: 10.86 g/cm³

Copy entry 6 word for word.
Entry from Alexandria via LeMat-Bulk: a relaxed V4Mo2W5 crystal (GGA-PBE).

abc: 14.1182 14.1182 2.7310
angles: 93.79 93.79 17.85
Atoms (fractional coordinates):
V  0.0442  0.0442  0.3656
V  0.3186  0.3186  0.5442
V  0.6814  0.6814  0.4558
V  0.9558  0.9558  0.6344
Mo  0.4093  0.4093  0.2737
Mo  0.5907  0.5907  0.7263
W  0.1358  0.1358  0.0881
W  0.2270  0.2270  0.8160
W  0.5000  0.5000  0.0000
W  0.7730  0.7730  0.1840
W  0.8642  0.8642  0.9119

Summary:
crystal system: monoclinic
calculated density: 13.12 g/cm³
uncorrected energy: -11.27 eV/atom

Q: Which of these has the highest calculated density?
A: V2Mo2W7